[1]
Below is a relaxed structure of B7C5, with properties calculated at the GGA-PBE level.

Cell: 2.707 2.707 15.858 Å, 90.00 90.00 120.00°
Sites, in units of the cell vectors:
C  0.333  0.667  0.142
C  0.333  0.667  0.043
C  0.000  0.000  0.379
C  0.667  0.333  0.728
C  0.000  0.000  0.490
B  0.333  0.667  0.500
B  0.667  0.333  0.827
B  0.667  0.333  0.370
B  0.667  0.333  0.153
B  0.000  0.000  0.001
B  0.333  0.667  0.722
B  0.000  0.000  0.894

## Properties
**Magnetization**: 0.00 Bohr magnetons per cell
**Energy relative to the elements**: 0.388 eV per atom
**V**: 8.39 Å³/atom
**VASP energy**: -7.351 eV per atom

---

[2]
Below is a relaxed structure of BC, with properties calculated at the GGA-PBE level.

Cell: 6.072 6.072 5.577 Å, 103.82 103.82 25.24°
Sites, in units of the cell vectors:
B  0.666  0.666  0.849
B  0.351  0.351  0.754
B  0.585  0.585  0.491
B  0.232  0.232  0.288
B  0.998  0.998  0.551
B  0.918  0.918  0.193
C  0.665  0.665  0.308
C  0.579  0.579  0.036
C  0.005  0.005  0.005
C  0.336  0.336  0.157
C  0.247  0.247  0.885
C  0.918  0.918  0.734

## Properties
**Magnetization**: 0.00 Bohr magnetons per cell
**Energy relative to the elements**: 0.416 eV per atom
**V**: 7.08 Å³/atom
**VASP energy**: -7.534 eV per atom

---

[3]
Below is a relaxed structure of BC, with properties calculated at the GGA-PBE level.

Cell: 2.633 2.633 15.050 Å, 90.00 90.00 120.00°
Sites, in units of the cell vectors:
B  0.667  0.333  0.893
B  0.667  0.333  0.308
B  0.667  0.333  0.655
B  0.333  0.667  0.159
B  0.000  0.000  0.380
B  0.000  0.000  0.493
C  0.667  0.333  0.205
C  0.333  0.667  0.051
C  0.333  0.667  0.642
C  0.333  0.667  0.539
C  0.000  0.000  0.907
C  0.000  0.000  0.019

## Properties
**Magnetization**: 0.00 Bohr magnetons per cell
**Energy relative to the elements**: 0.424 eV per atom
**V**: 7.53 Å³/atom
**VASP energy**: -7.527 eV per atom

---

[4]
Below is a relaxed structure of BC, with properties calculated at the GGA-PBE level.

Cell: 2.745 2.745 5.638 Å, 99.88 93.61 119.44°
Sites, in units of the cell vectors:
C  0.529  0.022  0.815
C  0.169  0.618  0.512
B  0.819  0.934  0.499
B  0.210  0.374  0.828

## Properties
**Magnetization**: 0.00 Bohr magnetons per cell
**Energy relative to the elements**: 0.333 eV per atom
**V**: 8.98 Å³/atom
**VASP energy**: -7.617 eV per atom

---

[5]
Below is a relaxed structure of BC, with properties calculated at the GGA-PBE level.

Cell: 2.659 4.626 6.708 Å, 91.18 90.00 90.00°
Sites, in units of the cell vectors:
B  0.000  0.957  0.232
B  0.000  0.336  0.362
B  0.500  0.532  0.231
B  0.000  0.658  0.975
B  0.500  0.164  0.914
B  0.000  0.666  0.617
C  0.500  0.858  0.344
C  0.500  0.163  0.662
C  0.000  0.999  0.996
C  0.500  0.852  0.573
C  0.000  0.322  0.597
C  0.500  0.493  0.997

## Properties
**Magnetization**: 0.00 Bohr magnetons per cell
**Energy relative to the elements**: 0.339 eV per atom
**V**: 6.87 Å³/atom
**VASP energy**: -7.612 eV per atom

---

[6]
Below is a relaxed structure of B7C5, with properties calculated at the GGA-PBE level.

Cell: 4.623 4.503 4.622 Å, 95.18 102.89 120.04°
Sites, in units of the cell vectors:
C  0.523  0.507  0.494
C  0.831  0.154  0.522
C  0.980  0.951  0.001
C  0.561  0.226  0.601
C  0.868  0.871  0.645
B  0.796  0.105  0.170
B  0.196  0.501  0.559
B  0.037  0.648  0.154
B  0.331  0.405  0.127
B  0.196  0.872  0.580
B  0.570  0.249  0.949
B  0.362  0.761  0.948

## Properties
**Magnetization**: 0.00 Bohr magnetons per cell
**Energy relative to the elements**: 0.412 eV per atom
**V**: 6.57 Å³/atom
**VASP energy**: -7.326 eV per atom

---

[7]
Below is a relaxed structure of BC, with properties calculated at the GGA-PBE level.

Cell: 4.591 4.591 5.429 Å, 100.52 100.52 44.10°
Sites, in units of the cell vectors:
B  0.933  0.472  0.581
B  0.528  0.067  0.419
B  0.004  0.996  0.000
B  0.985  0.015  0.500
B  0.411  0.352  0.702
B  0.648  0.589  0.298
C  0.309  0.318  0.158
C  0.682  0.691  0.842
C  0.915  0.414  0.065
C  0.217  0.716  0.244
C  0.586  0.085  0.935
C  0.284  0.783  0.756

## Properties
**Magnetization**: 0.00 Bohr magnetons per cell
**Energy relative to the elements**: 0.389 eV per atom
**V**: 6.51 Å³/atom
**VASP energy**: -7.562 eV per atom

---

[8]
Below is a relaxed structure of B7C5, with properties calculated at the GGA-PBE level.

Cell: 2.579 2.600 12.653 Å, 90.00 90.00 90.00°
Sites, in units of the cell vectors:
B  0.500  0.000  0.248
B  0.000  0.000  0.639
B  0.500  0.500  0.846
B  0.500  0.000  0.949
B  0.000  0.500  0.744
B  0.000  0.500  0.387
B  0.500  0.500  0.506
C  0.000  0.500  0.096
C  0.500  0.500  0.165
C  0.000  0.000  0.026
C  0.500  0.000  0.566
C  0.000  0.000  0.327

## Properties
**Magnetization**: 0.00 Bohr magnetons per cell
**Energy relative to the elements**: 0.439 eV per atom
**V**: 7.07 Å³/atom
**VASP energy**: -7.299 eV per atom

---

[9]
Below is a relaxed structure of B3C, with properties calculated at the GGA-PBE level.

Cell: 6.351 6.351 5.907 Å, 69.42 69.42 24.47°
Sites, in units of the cell vectors:
B  0.644  0.644  0.725
B  0.107  0.107  0.331
B  0.363  0.363  0.816
B  0.350  0.350  0.302
B  0.978  0.978  0.591
B  0.753  0.753  0.308
B  0.419  0.419  0.494
B  0.980  0.980  0.904
B  0.726  0.726  0.906
C  0.660  0.660  0.196
C  0.095  0.095  0.658
C  0.424  0.424  0.019

## Properties
**Magnetization**: 0.00 Bohr magnetons per cell
**Energy relative to the elements**: 0.451 eV per atom
**V**: 7.67 Å³/atom
**VASP energy**: -6.863 eV per atom

---

[10]
Below is a relaxed structure of BC, with properties calculated at the GGA-PBE level.

Cell: 2.630 2.429 12.644 Å, 90.00 90.00 90.00°
Sites, in units of the cell vectors:
B  0.500  0.500  0.817
B  0.500  0.000  0.927
B  0.000  0.500  0.426
B  0.500  0.000  0.267
B  0.000  0.000  0.657
B  0.500  0.500  0.157
C  0.500  0.500  0.509
C  0.000  0.000  0.008
C  0.000  0.500  0.075
C  0.000  0.500  0.747
C  0.000  0.000  0.336
C  0.500  0.000  0.575

## Properties
**Magnetization**: 0.00 Bohr magnetons per cell
**Energy relative to the elements**: 0.347 eV per atom
**V**: 6.73 Å³/atom
**VASP energy**: -7.603 eV per atom

---

[11]
Below is a relaxed structure of BC, with properties calculated at the GGA-PBE level.

Cell: 4.802 4.802 8.185 Å, 104.50 104.50 31.09°
Sites, in units of the cell vectors:
C  0.699  0.699  0.845
C  0.900  0.900  0.599
C  0.933  0.933  0.443
C  0.447  0.447  0.355
C  0.135  0.135  0.197
C  0.386  0.386  0.687
B  0.822  0.822  0.018
B  0.304  0.304  0.177
B  0.255  0.255  0.784
B  0.578  0.578  0.258
B  0.529  0.529  0.864
B  0.011  0.011  0.023

## Properties
**Magnetization**: 0.00 Bohr magnetons per cell
**Energy relative to the elements**: 0.298 eV per atom
**V**: 7.84 Å³/atom
**VASP energy**: -7.653 eV per atom

---

[12]
Below is a relaxed structure of BC, with properties calculated at the GGA-PBE level.

Cell: 7.425 7.985 7.985 Å, 161.15 145.41 40.04°
Sites, in units of the cell vectors:
B  0.471  0.854  0.617
B  0.056  0.346  0.711
B  0.993  0.971  0.021
B  0.450  0.277  0.173
B  0.014  0.680  0.334
B  0.483  0.130  0.353
C  0.645  0.964  0.681
C  0.243  0.172  0.071
C  0.157  0.456  0.701
C  0.641  0.607  0.034
C  0.061  0.791  0.270
C  0.535  0.500  0.034

## Properties
**Magnetization**: 0.00 Bohr magnetons per cell
**Energy relative to the elements**: 0.390 eV per atom
**V**: 7.22 Å³/atom
**VASP energy**: -7.561 eV per atom

---

[13]
Below is a relaxed structure of BC, with properties calculated at the GGA-PBE level.

Cell: 2.411 2.562 12.978 Å, 90.00 90.00 90.00°
Sites, in units of the cell vectors:
C  0.500  0.000  0.941
C  0.000  0.500  0.408
C  0.500  0.500  0.148
C  0.000  0.000  0.008
C  0.500  0.000  0.573
C  0.000  0.500  0.082
B  0.500  0.500  0.498
B  0.000  0.500  0.758
B  0.000  0.000  0.334
B  0.000  0.000  0.658
B  0.500  0.500  0.864
B  0.500  0.000  0.228

## Properties
**Magnetization**: 0.00 Bohr magnetons per cell
**Energy relative to the elements**: 0.380 eV per atom
**V**: 6.68 Å³/atom
**VASP energy**: -7.571 eV per atom

---

[14]
Below is a relaxed structure of BC, with properties calculated at the GGA-PBE level.

Cell: 7.465 6.239 6.239 Å, 155.46 142.39 44.22°
Sites, in units of the cell vectors:
B  0.122  0.007  0.115
B  0.003  0.154  0.849
B  0.354  0.361  0.993
B  0.879  0.477  0.402
B  0.504  0.641  0.862
C  0.837  0.689  0.148
C  0.334  0.119  0.215
C  0.175  0.870  0.305
C  0.696  0.364  0.333
C  0.845  0.818  0.028

## Properties
**Magnetization**: 0.00 Bohr magnetons per cell
**Energy relative to the elements**: 0.340 eV per atom
**V**: 7.37 Å³/atom
**VASP energy**: -7.611 eV per atom

---

[15]
Below is a relaxed structure of BC, with properties calculated at the GGA-PBE level.

Cell: 2.527 4.828 6.673 Å, 97.27 90.00 90.00°
Sites, in units of the cell vectors:
C  0.500  0.852  0.570
C  0.000  0.669  0.898
C  0.000  0.975  0.265
C  0.500  0.837  0.336
C  0.500  0.174  0.663
C  0.000  0.317  0.593
B  0.000  0.976  0.025
B  0.000  0.301  0.350
B  0.500  0.495  0.239
B  0.500  0.183  0.917
B  0.500  0.558  0.983
B  0.000  0.664  0.659

## Properties
**Magnetization**: 0.00 Bohr magnetons per cell
**Energy relative to the elements**: 0.449 eV per atom
**V**: 6.73 Å³/atom
**VASP energy**: -7.502 eV per atom

---

[16]
Below is a relaxed structure of BC, with properties calculated at the GGA-PBE level.

Cell: 6.937 7.381 7.381 Å, 159.85 141.03 44.57°
Sites, in units of the cell vectors:
B  0.505  0.261  0.243
B  0.070  0.345  0.725
B  0.462  0.140  0.322
B  0.677  0.969  0.708
B  0.096  0.132  0.964
B  0.488  0.840  0.648
C  0.626  0.620  0.006
C  0.071  0.007  0.064
C  0.095  0.788  0.307
C  0.526  0.509  0.018
C  0.968  0.673  0.295
C  0.166  0.466  0.700

## Properties
**Magnetization**: 0.00 Bohr magnetons per cell
**Energy relative to the elements**: 0.440 eV per atom
**V**: 6.80 Å³/atom
**VASP energy**: -7.510 eV per atom

---

[17]
Below is a relaxed structure of B3C7, with properties calculated at the GGA-PBE level.

Cell: 6.940 6.940 6.940 Å, 158.51 148.84 38.17°
Sites, in units of the cell vectors:
B  0.263  0.000  0.263
B  0.694  0.703  0.991
B  0.288  0.297  0.991
C  0.883  0.896  0.987
C  0.525  0.500  0.025
C  0.042  0.805  0.236
C  0.091  0.104  0.987
C  0.673  0.406  0.267
C  0.861  0.594  0.267
C  0.431  0.195  0.236

## Properties
**Magnetization**: 0.00 Bohr magnetons per cell
**Energy relative to the elements**: 0.319 eV per atom
**V**: 6.33 Å³/atom
**VASP energy**: -8.141 eV per atom

---

[18]
Below is a relaxed structure of B7C5, with properties calculated at the GGA-PBE level.

Cell: 4.554 4.554 8.591 Å, 119.77 119.77 33.03°
Sites, in units of the cell vectors:
B  0.637  0.637  0.337
B  0.278  0.278  0.624
B  0.389  0.389  0.177
B  0.862  0.862  0.010
B  0.444  0.444  0.391
B  0.570  0.570  0.922
B  0.190  0.190  0.211
C  0.809  0.809  0.547
C  0.038  0.038  0.996
C  0.669  0.669  0.811
C  0.149  0.149  0.705
C  0.967  0.967  0.519

## Properties
**Magnetization**: 0.00 Bohr magnetons per cell
**Energy relative to the elements**: 0.315 eV per atom
**V**: 6.92 Å³/atom
**VASP energy**: -7.423 eV per atom

---

[19]
Below is a relaxed structure of BC, with properties calculated at the GGA-PBE level.

Cell: 4.600 4.638 5.349 Å, 106.25 106.28 48.61°
Sites, in units of the cell vectors:
C  0.911  0.437  0.081
C  0.938  0.417  0.595
C  0.687  0.662  0.828
C  0.609  0.070  0.410
C  0.299  0.734  0.756
C  0.627  0.052  0.929
B  0.368  0.336  0.676
B  0.008  0.026  0.545
B  0.940  0.820  0.196
B  0.359  0.288  0.159
B  0.740  0.645  0.355
B  0.013  0.013  0.969

## Properties
**Magnetization**: 0.00 Bohr magnetons per cell
**Energy relative to the elements**: 0.317 eV per atom
**V**: 6.79 Å³/atom
**VASP energy**: -7.633 eV per atom

---

[20]
Below is a relaxed structure of B7C5, with properties calculated at the GGA-PBE level.

Cell: 6.498 7.828 7.828 Å, 161.54 140.31 44.97°
Sites, in units of the cell vectors:
C  0.491  0.504  0.986
C  0.129  0.813  0.316
C  0.996  0.333  0.663
C  0.636  0.618  0.017
C  0.131  0.451  0.680
B  0.604  0.964  0.640
B  0.170  0.144  0.026
B  0.015  0.687  0.329
B  0.014  0.995  0.019
B  0.478  0.827  0.651
B  0.599  0.274  0.324
B  0.488  0.140  0.349

## Properties
**Magnetization**: 0.00 Bohr magnetons per cell
**Energy relative to the elements**: 0.383 eV per atom
**V**: 6.67 Å³/atom
**VASP energy**: -7.355 eV per atom

---

[21]
Below is a relaxed structure of B7C5, with properties calculated at the GGA-PBE level.

Cell: 2.698 4.568 7.654 Å, 84.50 90.00 90.00°
Sites, in units of the cell vectors:
C  0.500  0.859  0.723
C  0.500  0.651  0.308
C  0.000  0.012  0.672
C  0.000  0.056  0.004
C  0.000  0.167  0.193
B  0.000  0.345  0.610
B  0.500  0.956  0.928
B  0.500  0.509  0.730
B  0.000  0.298  0.829
B  0.000  0.822  0.274
B  0.500  0.325  0.231
B  0.500  0.499  0.498

## Properties
**Magnetization**: 0.00 Bohr magnetons per cell
**Energy relative to the elements**: 0.297 eV per atom
**V**: 7.83 Å³/atom
**VASP energy**: -7.442 eV per atom